*w*
Density functional theory data (GGA-PBE) for a relaxed TbPr6Sm12 crystal.

## Properties
Total magnetic moment ... 0.00 μB/cell

a b c (Å): 10.0207 10.0207 10.0207
angles (deg): 112.47 112.47 112.47
Last column: nearest neighbours and their distance in Å.
Atoms (fractional coordinates):
Sm: 0.8789 0.1211 0.5000  4 Sm 3.10-3.24, 2 Pr 3.46
Sm: 0.7364 0.7364 0.0957  4 Sm 3.24-3.57, 2 Pr 3.56
Sm: 0.1211 0.8789 0.5000  4 Sm 3.10-3.24, 2 Pr 3.46
Sm: 0.9043 0.2636 0.2636  4 Sm 3.24-3.57, 2 Pr 3.56
Sm: 0.7364 0.0957 0.7364  4 Sm 3.24-3.57, 2 Pr 3.56
Sm: 0.0957 0.7364 0.7364  4 Sm 3.24-3.57, 2 Pr 3.56
Sm: 0.5000 0.1211 0.8789  4 Sm 3.10-3.24, 2 Pr 3.46
Sm: 0.5000 0.8789 0.1211  4 Sm 3.10-3.24, 2 Pr 3.46
Sm: 0.2636 0.9043 0.2636  4 Sm 3.24-3.57, 2 Pr 3.56
Sm: 0.1211 0.5000 0.8789  4 Sm 3.10-3.24, 2 Pr 3.46
Sm: 0.8789 0.5000 0.1211  4 Sm 3.10-3.24, 2 Pr 3.46
Sm: 0.2636 0.2636 0.9043  4 Sm 3.24-3.57, 2 Pr 3.56
Pr: 0.7319 0.7319 0.4736  5 Sm 3.46-3.82, 2 Pr 3.49
Pr: 0.5264 0.2681 0.2681  5 Sm 3.46-3.82, 2 Pr 3.49
Pr: 0.2681 0.2681 0.5264  5 Sm 3.46-3.82, 2 Pr 3.49
Pr: 0.2681 0.5264 0.2681  5 Sm 3.46-3.82, 2 Pr 3.49
Pr: 0.7319 0.4736 0.7319  5 Sm 3.46-3.82, 2 Pr 3.49
Pr: 0.4736 0.7319 0.7319  5 Sm 3.46-3.82, 2 Pr 3.49
Tb: 0.0000 0.0000 0.0000  6 Sm 3.66, 6 Pr 3.88

---

*x*
Density functional theory data (GGA-PBE) for a relaxed TbPr6Sm12 crystal.

## Properties
Total magnetic moment ... 0.00 μB/cell

a b c (Å): 8.7277 8.7277 8.7277
angles (deg): 89.32 89.32 89.32
Last column: nearest neighbours and their distance in Å.
Atoms (fractional coordinates):
Sm: 0.1957 0.3582 0.0172  4 Sm 3.49-3.68, 4 Pr 3.57-3.75, 1 Tb 3.59
Sm: 0.0172 0.1957 0.3582  4 Sm 3.49-3.68, 4 Pr 3.57-3.75, 1 Tb 3.59
Sm: 0.9828 0.8043 0.6418  4 Sm 3.49-3.68, 4 Pr 3.57-3.75, 1 Tb 3.59
Sm: 0.4642 0.5630 0.2223  6 Sm 3.34-3.72, 3 Pr 3.43-3.48
Sm: 0.3582 0.0172 0.1957  4 Sm 3.49-3.68, 4 Pr 3.57-3.75, 1 Tb 3.59
Sm: 0.4370 0.7777 0.5358  6 Sm 3.34-3.72, 3 Pr 3.43-3.48
Sm: 0.6418 0.9828 0.8043  4 Sm 3.49-3.68, 4 Pr 3.57-3.75, 1 Tb 3.59
Sm: 0.2223 0.4642 0.5630  6 Sm 3.34-3.72, 3 Pr 3.43-3.48
Sm: 0.5630 0.2223 0.4642  6 Sm 3.34-3.72, 3 Pr 3.43-3.48
Sm: 0.8043 0.6418 0.9828  4 Sm 3.49-3.68, 4 Pr 3.57-3.75, 1 Tb 3.59
Sm: 0.7777 0.5358 0.4370  6 Sm 3.34-3.72, 3 Pr 3.43-3.48
Sm: 0.5358 0.4370 0.7777  6 Sm 3.34-3.72, 3 Pr 3.43-3.48
Pr: 0.2621 0.0930 0.6955  7 Sm 3.43-3.75, 1 Tb 3.58, 2 Pr 3.61
Pr: 0.6955 0.2621 0.0930  7 Sm 3.43-3.75, 1 Tb 3.58, 2 Pr 3.61
Pr: 0.9070 0.3045 0.7379  7 Sm 3.43-3.75, 1 Tb 3.58, 2 Pr 3.61
Pr: 0.3045 0.7379 0.9070  7 Sm 3.43-3.75, 1 Tb 3.58, 2 Pr 3.61
Pr: 0.7379 0.9070 0.3045  7 Sm 3.43-3.75, 1 Tb 3.58, 2 Pr 3.61
Pr: 0.0930 0.6955 0.2621  7 Sm 3.43-3.75, 1 Tb 3.58, 2 Pr 3.61
Tb: 0.0000 0.0000 0.0000  6 Pr 3.58, 6 Sm 3.59

---

Relative stability in kJ/mol of atoms, measured from the most stable structure: *w* 16.3; *x* 0.0

---

*w*
Density functional theory data (GGA-PBE) for a relaxed Tb2PrSm2 crystal.

## Properties
Total magnetic moment ... 0.00 μB/cell

a b c (Å): 6.3233 6.3233 9.5368
angles (deg): 110.90 100.72 100.44
Last column: nearest neighbours and their distance in Å.
Atoms (fractional coordinates):
Sm: 0.2171 0.7980 0.3509  5 Tb 3.31-3.69, 1 Sm 3.46, 3 Pr 3.47-3.59
Sm: 0.4471 0.3663 0.1491  5 Tb 3.31-3.69, 1 Sm 3.46, 3 Pr 3.47-3.59
Sm: 0.5529 0.6337 0.8509  5 Tb 3.31-3.69, 1 Sm 3.46, 3 Pr 3.47-3.59
Sm: 0.7829 0.2020 0.6491  5 Tb 3.31-3.69, 1 Sm 3.46, 3 Pr 3.47-3.59
Tb: 0.8964 0.2494 0.0251  5 Sm 3.31-3.69, 2 Tb 3.44-3.54, 1 Pr 3.46
Tb: 0.1036 0.7506 0.9749  5 Sm 3.31-3.69, 2 Tb 3.44-3.54, 1 Pr 3.46
Tb: 0.2243 0.3713 0.4749  5 Sm 3.31-3.69, 2 Tb 3.44-3.54, 1 Pr 3.46
Tb: 0.7757 0.6287 0.5251  5 Sm 3.31-3.69, 2 Tb 3.44-3.54, 1 Pr 3.46
Pr: 0.7170 0.9670 0.2500  2 Tb 3.46, 6 Sm 3.47-3.59
Pr: 0.2830 0.0330 0.7500  2 Tb 3.46, 6 Sm 3.47-3.59

---

*x*
Density functional theory data (GGA-PBE) for a relaxed Tb2PrSm2 crystal.

## Properties
Total magnetic moment ... 0.00 μB/cell

a b c (Å): 3.8021 9.4773 9.4773
angles (deg): 90.00 90.00 90.00
Last column: nearest neighbours and their distance in Å.
Atoms (fractional coordinates):
Tb: 0.5000 0.1706 0.3294  6 Sm 3.31-3.43
Tb: 0.5000 0.8294 0.6706  6 Sm 3.31-3.43
Tb: 0.5000 0.6706 0.1706  6 Sm 3.31-3.43
Tb: 0.5000 0.3294 0.8294  6 Sm 3.31-3.43
Sm: 0.0000 0.8730 0.3730  6 Tb 3.31-3.43, 1 Sm 3.41
Sm: 0.0000 0.3730 0.1270  6 Tb 3.31-3.43, 1 Sm 3.41
Sm: 0.0000 0.1270 0.6270  6 Tb 3.31-3.43, 1 Sm 3.41
Sm: 0.0000 0.6270 0.8730  6 Tb 3.31-3.43, 1 Sm 3.41
Pr: 0.0000 0.5000 0.5000  4 Sm 3.73, 2 Pr 3.80, 8 Tb 4.00
Pr: 0.0000 0.0000 0.0000  4 Sm 3.73, 2 Pr 3.80, 8 Tb 4.00

---

Relative stability in kJ/mol of atoms, measured from the most stable structure: *w* 4.0; *x* 0.0

---

*w*
Density functional theory data (GGA-PBE) for a relaxed Tb3Pr5Sm2 crystal.

## Properties
Total magnetic moment ... 0.00 μB/cell

a b c (Å): 10.1509 10.1577 11.3720
angles (deg): 129.39 129.38 65.09
Last column: nearest neighbours and their distance in Å.
Atoms (fractional coordinates):
Pr: 0.7268 0.4768 0.9536  3 Pr 3.13-3.48, 2 Tb 3.43
Pr: 0.2732 0.5232 0.0464  3 Pr 3.13-3.48, 2 Tb 3.43
Pr: 0.6215 0.8697 0.2435  3 Tb 3.47-3.78, 3 Pr 3.48-3.53, 2 Sm 3.80-3.81
Pr: 0.4820 0.7320 0.4640  1 Pr 3.13, 2 Sm 3.43
Pr: 0.5180 0.2680 0.5360  1 Pr 3.13, 2 Sm 3.43
Pr: 0.8780 0.6262 0.7565  3 Tb 3.47-3.78, 3 Pr 3.48-3.53, 2 Sm 3.80-3.81
Pr: 0.0222 0.7722 0.5444  3 Tb 3.11-3.43
Pr: 0.9778 0.2278 0.4556  3 Tb 3.11-3.43
Pr: 0.3785 0.1303 0.7565  3 Tb 3.47-3.78, 3 Pr 3.48-3.53, 2 Sm 3.80-3.81
Pr: 0.1220 0.3738 0.2435  3 Tb 3.47-3.78, 3 Pr 3.48-3.53, 2 Sm 3.80-3.81
Sm: 0.7832 0.0312 0.7558  3 Tb 3.30-3.52, 4 Pr 3.43-3.59
Sm: 0.4726 0.7246 0.7558  3 Tb 3.30-3.52, 4 Pr 3.43-3.59
Sm: 0.2168 0.9688 0.2442  3 Tb 3.30-3.52, 4 Pr 3.43-3.59
Sm: 0.5274 0.2754 0.2442  3 Tb 3.30-3.52, 4 Pr 3.43-3.59
Tb: 0.2762 0.5307 0.7512  1 Sm 3.30, 5 Pr 3.43-3.60, 1 Tb 3.54
Tb: 0.7702 0.0202 0.0403  3 Pr 3.11-3.47, 2 Sm 3.39
Tb: 0.2298 0.9798 0.9597  3 Pr 3.11-3.47, 2 Sm 3.39
Tb: 0.7238 0.4693 0.2488  1 Sm 3.30, 5 Pr 3.43-3.60, 1 Tb 3.54
Tb: 0.0251 0.7795 0.2488  1 Sm 3.30, 5 Pr 3.43-3.60, 1 Tb 3.54
Tb: 0.9749 0.2205 0.7512  1 Sm 3.30, 5 Pr 3.43-3.60, 1 Tb 3.54

---

*x*
Density functional theory data (GGA-PBE) for a relaxed Tb3Pr5Sm2 crystal.

## Properties
Total magnetic moment ... 0.00 μB/cell

a b c (Å): 6.9114 12.6075 12.6075
angles (deg): 44.33 74.09 74.09
Last column: nearest neighbours and their distance in Å.
Atoms (fractional coordinates):
Pr: 0.3724 0.7248 0.5304  1 Sm 2.94
Pr: 0.5037 0.2463 0.2463  2 Sm 3.41, 4 Pr 3.43-3.46
Pr: 0.9963 0.7537 0.7537  2 Sm 3.41, 4 Pr 3.43-3.46
Pr: 0.2500 0.5000 0.5000  6 Pr 3.46
Pr: 0.1276 0.4696 0.2752  1 Sm 2.94
Pr: 0.0037 0.2463 0.2463  2 Sm 3.41, 4 Pr 3.43-3.46
Pr: 0.6276 0.2752 0.4696  1 Sm 2.94
Pr: 0.4963 0.7537 0.7537  2 Sm 3.41, 4 Pr 3.43-3.46
Pr: 0.7500 0.5000 0.5000  6 Pr 3.46
Pr: 0.8724 0.5304 0.7248  1 Sm 2.94
Sm: 0.3794 0.0261 0.2151  1 Pr 2.94, 1 Tb 3.24
Sm: 0.6206 0.9739 0.7849  1 Pr 2.94, 1 Tb 3.24
Sm: 0.8794 0.2151 0.0261  1 Pr 2.94, 1 Tb 3.24
Sm: 0.1206 0.7849 0.9739  1 Pr 2.94, 1 Tb 3.24
Tb: 0.7500 0.0000 0.0000  4 Sm 3.32, 2 Tb 3.46
Tb: 0.6186 0.6348 0.1280  1 Sm 3.24, 1 Pr 3.34
Tb: 0.2500 0.0000 0.0000  4 Sm 3.32, 2 Tb 3.46
Tb: 0.1186 0.1280 0.6348  1 Sm 3.24, 1 Pr 3.34
Tb: 0.3814 0.3652 0.8720  1 Sm 3.24, 1 Pr 3.34
Tb: 0.8814 0.8720 0.3652  1 Sm 3.24, 1 Pr 3.34

---

Relative stability in kJ/mol of atoms, measured from the most stable structure: *w* 0.0; *x* 17.3